# 1
Compound: YMg2Rh2
Source: Alexandria via LeMat-Bulk
Functional: SCAN
Structure: single point on PBEsol structure

## Properties
The volume comes out at 95 Å³ per cell. The calculation puts the formation energy at -0.58 eV per atom. Its uncorrected energy is -108.22 eV/f.u. The calculation puts the polymorph energy (0 for the lowest one) at 0.0373 eV per atom.

abc: 6.568 6.568 6.568
angles: 144.57 144.57 50.97
Positions (direct):
Y 0.000 0.000 0.000
Mg 0.250 0.750 0.500
Mg 0.750 0.250 0.500
Rh 0.395 0.395 0.000
Rh 0.605 0.605 0.000

# 2
Compound: HgPbAu
Source: Alexandria via LeMat-Bulk
Functional: SCAN
Structure: single point on PBEsol structure

## Properties
The volume comes out at 69 Å³ per cell. The calculation puts the formation energy at 0.04 eV per atom. Its uncorrected energy is -213.00 eV/f.u. The calculation puts the polymorph energy (0 for the lowest one) at 0.0902 eV per atom.

abc: 3.439 3.439 6.268
angles: 105.65 105.65 90.23
Positions (direct):
Hg 0.000 0.000 0.000
Pb 0.701 0.701 0.396
Au 0.358 0.358 0.714

# 3
Compound: Cd2P
Source: Alexandria via LeMat-Bulk
Functional: SCAN
Structure: single point on PBEsol structure

## Properties
The volume comes out at 64 Å³ per cell. The calculation puts the formation energy at 0.16 eV per atom. Its uncorrected energy is -70.75 eV/f.u. The calculation puts the polymorph energy (0 for the lowest one) at 0.0000 eV per atom.

abc: 4.159 4.159 3.697
angles: 90.00 90.00 90.00
Positions (direct):
Cd 0.000 0.500 0.000
Cd 0.500 0.000 0.000
P 0.000 0.000 0.500